(1)
KB2AuF8: optimized geometry, GGA-PBE.

Results
**Uncorrected formation energy**: -2493 meV per atom

Cell lengths 5.1935, 5.1935, 22.3737 Å; angles 90.00, 90.00, 120.00 degrees
Space group R-3 (No. 148, hexagonal axes)
Inequivalent atoms, fractional coordinates:
K 0.0000 0.0000 0.0000
B 0.0000 0.0000 0.2541
Au 0.0000 0.0000 0.5000
F 0.0000 0.0000 0.3174
F 0.0487 0.7693 0.7666

=====

(2)
Li2BAuF: optimized geometry, GGA-PBE.

Results
**Uncorrected formation energy**: -254 meV per atom

Cell lengths 5.023, 5.023, 4.003 Å; angles 90.00, 90.00, 90.00 degrees
Space group P4/mmm (No. 123)
Inequivalent atoms, fractional coordinates:
Li 0.000 0.500 0.000
B 0.000 0.000 0.500
Au 0.000 0.000 0.000
F 0.500 0.500 0.500